# KInFe2 | the Alexandria database | GGA-PBE | relaxed
data_KInFe2
_cell_length_a 10.124
_cell_length_b 10.124
_cell_length_c 10.124
_cell_angle_alpha 152.56
_cell_angle_beta 152.56
_cell_angle_gamma 39.19
_symmetry_space_group_name_H-M 'P 1'
_symmetry_Int_Tables_number 1
_symmetry_space_group_name_Hall 'P 1'
loop_
_atom_site_label
_atom_site_type_symbol
_atom_site_fract_x
_atom_site_fract_y
_atom_site_fract_z
K1 K 0.375 0.625 0.750
K2 K 0.625 0.375 0.250
In1 In 0.125 0.875 0.250
In2 In 0.875 0.125 0.750
Fe1 Fe 0.000 0.000 0.000
Fe2 Fe 0.000 0.000 0.500
Fe3 Fe 0.000 0.500 0.000
Fe4 Fe 0.500 0.000 0.500
# Total moment ... 5.2 μB per formula unit
# DFT formation energy ... 840 meV per atom
# Space-group type ... No. 141